1.
Below is an optimized crystal structure of HfSc2Ni, with properties calculated at the PBE level.

Cell: 3.1170 3.1170 29.6413 Å, 90.00 90.00 120.00°
Sites, in units of the cell vectors:
Hf 0.0000 0.0000 0.0000
Hf 0.3333 0.6667 0.6667
Hf 0.6667 0.3333 0.3333
Sc 0.0000 0.0000 0.1034
Sc 0.0000 0.0000 0.8966
Sc 0.3333 0.6667 0.5633
Sc 0.3333 0.6667 0.7701
Sc 0.6667 0.3333 0.2299
Sc 0.6667 0.3333 0.4367
Ni 0.0000 0.0000 0.5000
Ni 0.3333 0.6667 0.1667
Ni 0.6667 0.3333 0.8333

Output
**Formation energy from the elements**: 0.6 eV/f.u.
**Total magnetization**: 0.00 μB/cell
**Excess energy over the best structure of this formula in the dataset**: 388.9 meV per atom
**Symmetry**: R-3m
**E**: -6.95 eV per atom


2.
Below is an optimized crystal structure of LiPuAg, with properties calculated at the PBE level.

Cell: 2.9382 2.9663 16.2056 Å, 84.80 89.92 61.02°
Sites, in units of the cell vectors:
Li 0.1943 0.1221 0.0788
Li 0.8057 0.8779 0.9212
Pu 0.0850 0.3616 0.7462
Pu 0.9150 0.6384 0.2538
Ag 0.3092 0.8787 0.4247
Ag 0.6908 0.1213 0.5753

Output
**Formation energy from the elements**: 0.5 eV/f.u.
**Total magnetization**: 9.94 μB/cell
**Excess energy over the best structure of this formula in the dataset**: 111.4 meV per atom
**Symmetry**: P-1
**E**: -6.18 eV per atom


3.
Below is an optimized crystal structure of BaFe3P, with properties calculated at the PBE level.

Cell: 4.5342 4.5342 4.5342 Å, 90.00 90.00 90.00°
Sites, in units of the cell vectors:
Ba 0.0000 0.0000 0.0000
Fe 0.0000 0.5000 0.5000
Fe 0.5000 0.0000 0.5000
Fe 0.5000 0.5000 0.0000
P 0.5000 0.5000 0.5000

Output
**Formation energy from the elements**: 1.5 eV/f.u.
**Total magnetization**: 7.01 μB/cell
**Excess energy over the best structure of this formula in the dataset**: 0.0 meV per atom
**Symmetry**: Pm-3m
**E**: -6.25 eV per atom


Question: Which formula does entry 3 have?
Answer: BaFe3P